1.
A plane-wave DFT calculation with GGA-PBE was carried out for ScOs3 after structural relaxation.

## Properties
As for the space-group type: I4/mmm, No. 139. The value obtained for the formation energy is 40.5 kJ/mol of formula units.

a = 4.893 Å, b = 4.893 Å, c = 4.893 Å
α = 133.05°, β = 133.05°, γ = 68.58°
Element x y z (fractional)
Sc 0.000 0.000 0.000
Os 0.250 0.750 0.500
Os 0.500 0.500 0.000
Os 0.750 0.250 0.500

***

2.
A plane-wave DFT calculation with GGA-PBE was carried out for Sc11Os4 after structural relaxation.

## Properties
As for the space-group type: Fm-3m, No. 225. The value obtained for the formation energy is -539.3 kJ/mol of formula units.

a = 9.409 Å, b = 9.409 Å, c = 9.409 Å
α = 60.00°, β = 60.00°, γ = 60.00°
Element x y z (fractional)
Sc 0.148 0.617 0.617
Sc 0.156 0.156 0.156
Sc 0.156 0.156 0.533
Sc 0.156 0.533 0.156
Sc 0.199 0.199 0.801
Sc 0.199 0.801 0.199
Sc 0.199 0.801 0.801
Sc 0.383 0.383 0.383
Sc 0.383 0.383 0.852
Sc 0.383 0.852 0.383
Sc 0.467 0.844 0.844
Sc 0.533 0.156 0.156
Sc 0.617 0.148 0.617
Sc 0.617 0.617 0.148
Sc 0.617 0.617 0.617
Sc 0.801 0.199 0.199
Sc 0.801 0.199 0.801
Sc 0.801 0.801 0.199
Sc 0.844 0.467 0.844
Sc 0.844 0.844 0.467
Sc 0.844 0.844 0.844
Sc 0.852 0.383 0.383
Os 0.000 0.000 0.000
Os 0.000 0.000 0.500
Os 0.000 0.500 0.000
Os 0.000 0.500 0.500
Os 0.500 0.000 0.000
Os 0.500 0.000 0.500
Os 0.500 0.500 0.000
Os 0.500 0.500 0.500